Compound: Ac2Pr5Dy2
Source: Alexandria via LeMat-Bulk
Functional: PBE
Structure: optimized geometry Values from VASP.

```
&SYSTEM
  ibrav = 0, nat = 9, ntyp = 3
/
ATOMIC_SPECIES
Ac 227.00 Ac.upf
Pr 140.91 Pr.upf
Dy 162.50 Dy.upf
CELL_PARAMETERS angstrom
-1.636 1.823 -2.755
7.527 -2.832 -6.343
-2.170 -8.883 -2.122
ATOMIC_POSITIONS crystal
Ac 0.485 0.685 0.969
Ac 0.515 0.315 0.031
Pr 0.664 0.796 0.328
Pr 0.336 0.204 0.672
Pr 0.838 0.525 0.677
Pr 0.162 0.475 0.323
Pr 0.000 0.000 0.000
Dy 0.827 0.907 0.655
Dy 0.173 0.093 0.345
```

Properties
Energy of formation   0.100 eV/atom
Symmetry   C2/m, No. 12
Total magnetic moment   0.0000 μB per atom